1.
{
  "formula": "MgW2Br",
  "functional": "PBE",
  "state": "relaxed",
  "spacegroup": "Pmmm, No. 47",
  "m_tot_mub_per_fu": 0.00,
  "de_polymorph_ev_per_fu": 2.34,
  "e_form_raw_kj_per_mol_atoms": 83.8,
  "lattice": [[-2.6392, -1.0186, 1.1715], [-1.4890, -1.0029, -4.2265], [2.0072, -4.7247, 0.4139]],
  "species": ["W", "Mg", "Br", "W"],
  "frac_coords": [[0.5000, 0.5000, 0.0000], [0.0000, 0.5000, 0.5000], [0.5000, 0.0000, 0.5000], [0.0000, 0.0000, 0.0000]]
}

***

2.
{
  "formula": "SrLaCl2",
  "functional": "PBE",
  "state": "relaxed",
  "spacegroup": "Imm2, No. 44",
  "m_tot_mub_per_fu": 0.27,
  "de_polymorph_ev_per_fu": 0.33,
  "e_form_raw_kj_per_mol_atoms": -144.4,
  "lattice": [[10.5793, 0.1514, 0.0016], [9.1573, 5.2998, -0.0016], [-9.8814, -2.6781, 2.6701]],
  "species": ["Cl", "La", "Cl", "Sr"],
  "frac_coords": [[0.0273, 0.0273, 0.0000], [0.4637, 0.4637, 0.0000], [0.7207, 0.2207, 0.5000], [0.2883, 0.7883, 0.5000]]
}

***

3.
{
  "formula": "BaHg2PtAu",
  "functional": "PBE",
  "state": "relaxed",
  "spacegroup": "P4/mmm, No. 123",
  "m_tot_mub_per_fu": 0.00,
  "delta_e_f_ev_per_atom": -0.360,
  "lattice": [[-0.3561, 2.5295, 4.6002], [-0.3019, -4.6130, 2.5132], [5.3497, -0.0958, 0.4668]],
  "species": ["Hg", "Au", "Ba", "Pt", "Hg"],
  "frac_coords": [[0.5000, 0.0000, 0.0000], [0.0000, 0.0000, 0.5000], [0.5000, 0.5000, 0.5000], [0.0000, 0.0000, 0.0000], [0.0000, 0.5000, 0.0000]]
}

***

Repeat the first record exactly.
{
  "formula": "MgW2Br",
  "functional": "PBE",
  "state": "relaxed",
  "spacegroup": "Pmmm, No. 47",
  "m_tot_mub_per_fu": 0.00,
  "de_polymorph_ev_per_fu": 2.34,
  "e_form_raw_kj_per_mol_atoms": 83.8,
  "lattice": [[-2.6392, -1.0186, 1.1715], [-1.4890, -1.0029, -4.2265], [2.0072, -4.7247, 0.4139]],
  "species": ["W", "Mg", "Br", "W"],
  "frac_coords": [[0.5000, 0.5000, 0.0000], [0.0000, 0.5000, 0.5000], [0.5000, 0.0000, 0.5000], [0.0000, 0.0000, 0.0000]]
}